Entry from Alexandria via LeMat-Bulk: a relaxed structure of Hf2RePbI (PBE).

Results
For the uncorrected formation energy, the calculation gives 2324 meV/atom.

Structure (CIF):
```
data_Hf2RePbI
_cell_length_a 5.4316
_cell_length_b 5.4316
_cell_length_c 5.7565
_cell_angle_alpha 90.00
_cell_angle_beta 90.00
_cell_angle_gamma 90.00
_space_group_name_H-M_alt 'P 1'
_space_group_IT_number 1
_space_group_name_Hall 'P 1'
loop_
_atom_site_label
_atom_site_fract_x
_atom_site_fract_y
_atom_site_fract_z
Hf1 0.0000 0.5000 0.0000
Hf2 0.5000 0.0000 0.0000
Re1 0.0000 0.0000 0.5000
Pb1 0.5000 0.5000 0.0000
I1 0.5000 0.5000 0.5000
```


Entry from Alexandria via LeMat-Bulk: a relaxed structure of TbCdIn (PBE).

Results
As for the calculated formation energy: -1.20 eV/f.u.

Structure (CIF):
```
data_TbCdIn
_cell_length_a 4.9114
_cell_length_b 4.9114
_cell_length_c 3.6223
_cell_angle_alpha 90.00
_cell_angle_beta 90.00
_cell_angle_gamma 120.00
_space_group_name_H-M_alt 'P 1'
_space_group_IT_number 1
_space_group_name_Hall 'P 1'
loop_
_atom_site_label
_atom_site_fract_x
_atom_site_fract_y
_atom_site_fract_z
Tb1 0.0000 0.0000 0.0000
Cd1 0.3333 0.6667 0.4989
In1 0.6667 0.3333 0.5013
```